1.
K2Si2Au3 | PBE | optimized geometry

Structure (POSCAR):
```
K2Si2Au3
1.0
6.738 0.000 0.000
0.000 6.888 0.000
-2.600 0.000 8.043
K Si Au
4 4 6
direct
0.195 0.088 0.402
0.195 0.412 0.902
0.805 0.588 0.098
0.805 0.912 0.598
0.361 0.591 0.544
0.361 0.909 0.044
0.639 0.091 0.956
0.639 0.409 0.456
0.000 0.000 0.000
0.000 0.500 0.500
0.432 0.687 0.279
0.432 0.813 0.779
0.568 0.187 0.221
0.568 0.313 0.721
```

---

2.
KSi2Au | PBE | optimized geometry

Structure (POSCAR):
```
KSi2Au
1.0
0.000 3.455 3.455
3.455 0.000 3.455
3.455 3.455 0.000
K Si Au
1 2 1
direct
0.000 0.000 0.000
0.500 0.500 0.500
0.750 0.750 0.750
0.250 0.250 0.250
```

Properties
- energy above the most stable polymorph in this dataset (eV per formula unit) = 2.31

---

3.
K4SiAu4 | PBE | optimized geometry

Structure (POSCAR):
```
K4SiAu4
1.0
9.185 0.000 0.000
0.000 9.185 0.000
0.000 0.000 6.938
K Si Au
8 2 8
direct
0.040 0.673 0.116
0.173 0.960 0.616
0.327 0.540 0.616
0.460 0.827 0.116
0.540 0.173 0.884
0.673 0.460 0.384
0.827 0.040 0.384
0.960 0.327 0.884
0.250 0.250 0.250
0.750 0.750 0.750
0.056 0.379 0.413
0.121 0.056 0.087
0.379 0.444 0.087
0.444 0.121 0.413
0.556 0.879 0.587
0.621 0.556 0.913
0.879 0.944 0.913
0.944 0.621 0.587
```

---

4.
KSiAu | PBE | optimized geometry

Structure (POSCAR):
```
KSiAu
1.0
0.000 3.433 3.433
3.433 0.000 3.433
3.433 3.433 0.000
K Si Au
1 1 1
direct
0.000 0.000 0.000
0.500 0.500 0.500
0.750 0.750 0.750
```

---

5.
KSrSi2Au4 | PBE | optimized geometry

Structure (POSCAR):
```
KSrSi2Au4
1.0
4.651 0.000 0.000
0.000 4.651 0.000
0.000 0.000 10.001
K Sr Si Au
1 1 2 4
direct
0.000 0.000 0.000
0.000 0.000 0.500
0.500 0.500 0.197
0.500 0.500 0.803
0.000 0.500 0.271
0.000 0.500 0.729
0.500 0.000 0.271
0.500 0.000 0.729
```

---

6.
KSiTe4Au2 | PBE | optimized geometry

Structure (POSCAR):
```
KSiTe4Au2
1.0
-3.713 3.808 4.501
3.713 -3.808 4.501
3.713 3.808 -4.501
K Si Te Au
1 1 4 2
direct
0.000 0.000 0.000
0.500 0.500 0.000
0.145 0.144 0.602
0.457 0.856 0.001
0.543 0.544 0.398
0.855 0.456 0.999
0.336 0.836 0.500
0.664 0.164 0.500
```

---

7.
K2SiTe4Au | PBE | optimized geometry

Structure (POSCAR):
```
K2SiTe4Au
1.0
0.000 7.458 11.429
3.601 0.000 11.429
3.601 7.458 0.000
K Si Te Au
4 2 8 2
direct
0.052 0.052 0.698
0.302 0.302 0.948
0.698 0.698 0.052
0.948 0.948 0.302
0.375 0.375 0.375
0.625 0.625 0.625
0.007 0.350 0.448
0.305 0.552 0.650
0.350 0.007 0.695
0.448 0.695 0.007
0.552 0.305 0.993
0.650 0.993 0.305
0.695 0.448 0.350
0.993 0.650 0.552
0.125 0.125 0.125
0.875 0.875 0.875
```

---

8.
KSiTe3Au | PBE | optimized geometry

Structure (POSCAR):
```
KSiTe3Au
1.0
7.482 -3.488 0.000
7.482 3.488 0.000
-4.460 0.000 8.124
K Si Te Au
2 2 6 2
direct
0.230 0.230 0.278
0.770 0.770 0.722
0.468 0.468 0.856
0.532 0.532 0.144
0.162 0.674 0.180
0.282 0.282 0.694
0.326 0.838 0.820
0.674 0.162 0.180
0.718 0.718 0.306
0.838 0.326 0.820
0.224 0.776 0.500
0.776 0.224 0.500
```

---

9.
KTl2SiAu | PBE | optimized geometry

Structure (POSCAR):
```
KTl2SiAu
1.0
5.684 0.000 0.000
0.000 5.684 0.000
0.000 0.000 4.779
K Tl Si Au
1 2 1 1
direct
0.000 0.000 0.000
0.000 0.500 0.500
0.500 0.000 0.500
0.500 0.500 0.500
0.500 0.500 0.000
```

---

10.
KTl2SiAu2 | PBE | optimized geometry

Structure (POSCAR):
```
KTl2SiAu2
1.0
4.520 0.000 0.000
0.000 8.189 0.000
0.000 0.000 8.987
K Tl Si Au
2 4 2 4
direct
0.000 0.181 0.000
0.000 0.819 0.500
0.000 0.354 0.654
0.000 0.646 0.154
0.500 0.474 0.382
0.500 0.526 0.882
0.500 0.104 0.367
0.500 0.896 0.867
0.000 0.221 0.350
0.000 0.779 0.850
0.500 0.079 0.649
0.500 0.921 0.149
```

---

11.
KZn2SiAu4 | PBE | optimized geometry

Structure (POSCAR):
```
KZn2SiAu4
1.0
2.219 1.281 10.274
-2.219 1.281 10.274
0.000 -2.563 10.274
K Zn Si Au
1 2 1 4
direct
0.000 0.000 0.000
0.251 0.251 0.251
0.749 0.749 0.749
0.500 0.500 0.500
0.142 0.142 0.142
0.418 0.418 0.418
0.582 0.582 0.582
0.858 0.858 0.858
```

---

12.
KZnSiAu2 | PBE | optimized geometry

Structure (POSCAR):
```
KZnSiAu2
1.0
5.024 0.000 0.000
0.000 5.024 0.000
0.000 0.000 4.834
K Zn Si Au
1 1 1 2
direct
0.000 0.000 0.000
0.500 0.500 0.000
0.500 0.500 0.500
0.000 0.500 0.500
0.500 0.000 0.500
```

---

Magnetization in μB per formula unit, matching the order above: 0.00; 0.00; 0.00; 0.00; 0.00; 0.00; 0.00; 0.00; 0.00; 0.00; 0.00; 0.00
Ρ in g cm⁻³, matching the order above: 6.45; 5.88; 5.52; 5.42; 7.45; 6.34; 4.40; 5.07; 7.24; 8.68; 9.34; 7.17
Formation energy (no corrections) in eV/atom, matching the order above: -0.319; 0.540; -0.287; 0.453; -0.299; -0.261; -0.432; -0.316; 0.067; -0.127; -0.094; -0.087